Record 1
A plane-wave DFT calculation with PBE was carried out for a geometry-optimized Tb3Sm5Dy structure.

ΔH_f (0 K)	0.170	eV/atom
excess energy over the best structure of this formula in the dataset	0	meV/atom
total moment	0.00	μB/f.u.
theoretical density	7.7	Mg/m³

a b c (Å): 8.8773 8.8773 11.5605
angles (deg): 108.52 108.52 44.65
Last column: nearest neighbours and their distance in Å.
Element x y z (fractional)
1 Tb 0.0000 0.0000 0.0000  2 Dy 3.30, 2 Sm 3.59
2 Tb 0.0000 0.0000 0.5000  2 Dy 3.30, 2 Sm 3.59
3 Tb 0.1591 0.3628 0.6300  7 Sm 3.33-3.65, 1 Tb 3.52
4 Tb 0.3628 0.1591 0.1300  7 Sm 3.33-3.65, 1 Tb 3.52
5 Tb 0.6372 0.8409 0.8700  7 Sm 3.33-3.65, 1 Tb 3.52
6 Tb 0.8409 0.6372 0.3700  7 Sm 3.33-3.65, 1 Tb 3.52
7 Sm 0.0778 0.2675 0.8501  2 Sm 3.05-3.42, 2 Tb 3.33
8 Sm 0.2675 0.0778 0.3501  2 Sm 3.05-3.42, 2 Tb 3.33
9 Sm 0.3146 0.6854 0.2500  1 Dy 3.03, 2 Sm 3.05
10 Sm 0.3895 0.3911 0.9505  4 Sm 3.39-3.61, 5 Tb 3.51-3.78, 1 Dy 3.76
11 Sm 0.3911 0.3895 0.4505  4 Sm 3.39-3.61, 5 Tb 3.51-3.78, 1 Dy 3.76
12 Sm 0.6089 0.6105 0.5495  4 Sm 3.39-3.61, 5 Tb 3.51-3.78, 1 Dy 3.76
13 Sm 0.6105 0.6089 0.0495  4 Sm 3.39-3.61, 5 Tb 3.51-3.78, 1 Dy 3.76
14 Sm 0.6854 0.3146 0.7500  1 Dy 3.03, 2 Sm 3.05
15 Sm 0.7325 0.9222 0.6499  2 Sm 3.05-3.42, 2 Tb 3.33
16 Sm 0.9222 0.7325 0.1499  2 Sm 3.05-3.42, 2 Tb 3.33
17 Dy 0.2362 0.7638 0.7500  1 Sm 3.03, 2 Tb 3.30
18 Dy 0.7638 0.2362 0.2500  1 Sm 3.03, 2 Tb 3.30

Record 2
A plane-wave DFT calculation with PBE was carried out for a geometry-optimized Tb2Sm5Dy5 structure.

ΔH_f (0 K)	0.016	eV/atom
total moment	0.00	μB/f.u.
theoretical density	8.0	Mg/m³

a b c (Å): 8.0032 8.0032 11.3336
angles (deg): 115.09 115.09 36.84
Last column: nearest neighbours and their distance in Å.
Element x y z (fractional)
1 Tb 0.0833 0.0833 0.2491  5 Dy 3.57-3.59, 7 Sm 3.57-3.59
2 Tb 0.9167 0.9167 0.7509  5 Dy 3.57-3.59, 7 Sm 3.57-3.59
3 Sm 0.3338 0.3338 0.5005  5 Dy 3.57-3.59, 4 Sm 3.58, 3 Tb 3.58-3.59
4 Sm 0.4161 0.4161 0.2494  7 Dy 3.56-3.58, 3 Sm 3.58, 2 Tb 3.58
5 Sm 0.5000 0.5000 0.0000  6 Dy 3.57-3.58, 4 Tb 3.57, 2 Sm 3.58
6 Sm 0.5839 0.5839 0.7506  7 Dy 3.56-3.58, 3 Sm 3.58, 2 Tb 3.58
7 Sm 0.6662 0.6662 0.4995  5 Dy 3.57-3.59, 4 Sm 3.58, 3 Tb 3.58-3.59
8 Dy 0.0000 0.0000 0.5000  8 Sm 3.57-3.58, 2 Tb 3.59, 2 Dy 3.59
9 Dy 0.1675 0.1675 0.0006  5 Sm 3.56-3.58, 5 Dy 3.56-3.57, 2 Tb 3.58-3.59
10 Dy 0.2506 0.2506 0.7513  4 Dy 3.57-3.59, 6 Sm 3.57-3.59, 2 Tb 3.57
11 Dy 0.7494 0.7494 0.2487  4 Dy 3.57-3.59, 6 Sm 3.57-3.59, 2 Tb 3.57
12 Dy 0.8325 0.8325 0.9994  5 Sm 3.56-3.58, 5 Dy 3.56-3.57, 2 Tb 3.58-3.59

Record 3
A plane-wave DFT calculation with PBE was carried out for a geometry-optimized Tb5SmDy2 structure.

ΔH_f (0 K)	0.178	eV/atom
excess energy over the best structure of this formula in the dataset	164	meV/atom
total moment	0.00	μB/f.u.
theoretical density	8.0	Mg/m³

a b c (Å): 5.7570 11.2150 8.5118
angles (deg): 90.00 106.41 90.00
Last column: nearest neighbours and their distance in Å.
Element x y z (fractional)
1 Tb 0.1654 0.0763 0.2100  3 Dy 3.13-3.50, 2 Tb 3.35-3.45
2 Tb 0.1654 0.4237 0.2100  3 Dy 3.13-3.50, 2 Tb 3.35-3.45
3 Tb 0.2655 0.7500 0.5808  2 Dy 3.47, 1 Sm 3.53, 6 Tb 3.69-3.80
4 Tb 0.3030 0.0774 0.6202  3 Tb 3.35-3.69, 1 Sm 3.52, 2 Dy 3.52-3.56
5 Tb 0.3030 0.4226 0.6202  3 Tb 3.35-3.69, 1 Sm 3.52, 2 Dy 3.52-3.56
6 Tb 0.6970 0.5774 0.3798  3 Tb 3.35-3.69, 1 Sm 3.52, 2 Dy 3.52-3.56
7 Tb 0.6970 0.9226 0.3798  3 Tb 3.35-3.69, 1 Sm 3.52, 2 Dy 3.52-3.56
8 Tb 0.7345 0.2500 0.4192  2 Dy 3.47, 1 Sm 3.53, 6 Tb 3.69-3.80
9 Tb 0.8346 0.5763 0.7900  3 Dy 3.13-3.50, 2 Tb 3.35-3.45
10 Tb 0.8346 0.9237 0.7900  3 Dy 3.13-3.50, 2 Tb 3.35-3.45
11 Sm 0.0014 0.2500 0.8466  4 Dy 3.45-3.75, 7 Tb 3.52-3.78
12 Sm 0.9986 0.7500 0.1534  4 Dy 3.45-3.75, 7 Tb 3.52-3.78
13 Dy 0.3866 0.6166 0.9629  2 Dy 2.91-2.99, 1 Tb 3.13
14 Dy 0.3866 0.8834 0.9629  2 Dy 2.91-2.99, 1 Tb 3.13
15 Dy 0.6134 0.1166 0.0371  2 Dy 2.91-2.99, 1 Tb 3.13
16 Dy 0.6134 0.3834 0.0371  2 Dy 2.91-2.99, 1 Tb 3.13

Record 4
A plane-wave DFT calculation with PBE was carried out for a geometry-optimized Tb3Sm4Dy5 structure.

ΔH_f (0 K)	0.015	eV/atom
excess energy over the best structure of this formula in the dataset	0	meV/atom
total moment	0.00	μB/f.u.
theoretical density	8.1	Mg/m³

a b c (Å): 6.1896 7.1480 8.7475
angles (deg): 90.09 90.06 90.13
Last column: nearest neighbours and their distance in Å.
Element x y z (fractional)
1 Tb 0.0000 0.0000 0.0000  2 Tb 3.56, 8 Dy 3.56-3.57, 2 Sm 3.56
2 Tb 0.1673 0.7513 0.6680  5 Dy 3.56-3.59, 6 Sm 3.56-3.59, 1 Tb 3.56
3 Tb 0.8327 0.2487 0.3320  5 Dy 3.56-3.59, 6 Sm 3.56-3.59, 1 Tb 3.56
4 Sm 0.1666 0.2491 0.6677  4 Tb 3.56-3.59, 5 Dy 3.57-3.59, 3 Sm 3.58-3.59
5 Sm 0.3327 0.4999 0.3320  5 Dy 3.56-3.57, 3 Tb 3.57-3.59, 4 Sm 3.58-3.59
6 Sm 0.6673 0.5001 0.6680  5 Dy 3.56-3.57, 3 Tb 3.57-3.59, 4 Sm 3.58-3.59
7 Sm 0.8334 0.7509 0.3323  4 Tb 3.56-3.59, 5 Dy 3.57-3.59, 3 Sm 3.58-3.59
8 Dy 0.0000 0.5000 0.0000  4 Sm 3.56-3.57, 4 Tb 3.57, 4 Dy 3.57-3.58
9 Dy 0.3337 0.9999 0.3320  3 Dy 3.56-3.59, 4 Tb 3.56-3.59, 5 Sm 3.57-3.59
10 Dy 0.4994 0.7512 0.0000  3 Tb 3.56-3.57, 6 Dy 3.56-3.59, 3 Sm 3.57
11 Dy 0.5006 0.2488 0.0000  3 Tb 3.56-3.57, 6 Dy 3.56-3.59, 3 Sm 3.57
12 Dy 0.6663 0.0001 0.6680  3 Dy 3.56-3.59, 4 Tb 3.56-3.59, 5 Sm 3.57-3.59

Record 5
A plane-wave DFT calculation with PBE was carried out for a geometry-optimized Tb3Sm5Dy2 structure.

ΔH_f (0 K)	0.383	eV/atom
excess energy over the best structure of this formula in the dataset	190	meV/atom
total moment	0.00	μB/f.u.
theoretical density	7.3	Mg/m³

a b c (Å): 9.9350 9.9350 9.9350
angles (deg): 123.62 93.05 113.15
Last column: nearest neighbours and their distance in Å.
Element x y z (fractional)
1 Tb 0.1241 0.7484 0.8725  1 Dy 3.19, 1 Sm 3.28
2 Tb 0.2500 0.2500 0.0000  4 Dy 3.32, 2 Sm 3.40
3 Tb 0.3759 0.2484 0.6244  1 Dy 3.19, 1 Sm 3.28
4 Tb 0.6241 0.7516 0.3756  1 Dy 3.19, 1 Sm 3.28
5 Tb 0.7500 0.7500 0.0000  4 Dy 3.32, 2 Sm 3.40
6 Tb 0.8759 0.2516 0.1275  1 Dy 3.19, 1 Sm 3.28
7 Sm 0.0014 0.2500 0.7514  2 Dy 3.34, 3 Sm 3.36-3.44, 1 Tb 3.40
8 Sm 0.1270 0.3990 0.5260  1 Dy 2.91
9 Sm 0.2500 0.7500 0.5000  6 Sm 3.38-3.44
10 Sm 0.3730 0.8990 0.2720  1 Dy 2.91
11 Sm 0.4986 0.2500 0.2486  2 Dy 3.34, 3 Sm 3.36-3.44, 1 Tb 3.40
12 Sm 0.5014 0.7500 0.7514  2 Dy 3.34, 3 Sm 3.36-3.44, 1 Tb 3.40
13 Sm 0.6270 0.1010 0.7280  1 Dy 2.91
14 Sm 0.7500 0.2500 0.5000  6 Sm 3.38-3.44
15 Sm 0.8730 0.6010 0.4740  1 Dy 2.91
16 Sm 0.9986 0.7500 0.2486  2 Dy 3.34, 3 Sm 3.36-3.44, 1 Tb 3.40
17 Dy 0.1229 0.0888 0.2116  1 Sm 2.91, 1 Tb 3.19
18 Dy 0.3771 0.5888 0.9659  1 Sm 2.91, 1 Tb 3.19
19 Dy 0.6229 0.4112 0.0341  1 Sm 2.91, 1 Tb 3.19
20 Dy 0.8771 0.9112 0.7884  1 Sm 2.91, 1 Tb 3.19

Record 6
A plane-wave DFT calculation with PBE was carried out for a geometry-optimized Tb4Sm10Dy structure.

ΔH_f (0 K)	0.713	eV/atom
total moment	0.00	μB/f.u.
theoretical density	6.5	Mg/m³

a b c (Å): 9.5159 9.5159 9.5159
angles (deg): 99.57 99.57 131.88
Last column: nearest neighbours and their distance in Å.
Element x y z (fractional)
1 Tb 0.1005 0.2993 0.3998  8 Sm 3.36-3.37
2 Tb 0.2993 0.8995 0.1988  8 Sm 3.36-3.37
3 Tb 0.7007 0.1005 0.8012  8 Sm 3.36-3.37
4 Tb 0.8995 0.7007 0.6002  8 Sm 3.36-3.37
5 Sm 0.0500 0.1509 0.7004  3 Tb 3.36, 1 Dy 3.36
6 Sm 0.1509 0.4505 0.1009  3 Tb 3.36, 1 Dy 3.36
7 Sm 0.2500 0.7500 0.5000  4 Tb 3.37
8 Sm 0.3496 0.0500 0.8991  3 Tb 3.36, 1 Dy 3.36
9 Sm 0.4505 0.3496 0.2996  3 Tb 3.36, 1 Dy 3.36
10 Sm 0.5495 0.6504 0.7004  3 Tb 3.36, 1 Dy 3.36
11 Sm 0.6504 0.9500 0.1009  3 Tb 3.36, 1 Dy 3.36
12 Sm 0.7500 0.2500 0.5000  4 Tb 3.37
13 Sm 0.8491 0.5495 0.8991  3 Tb 3.36, 1 Dy 3.36
14 Sm 0.9500 0.8491 0.2996  3 Tb 3.36, 1 Dy 3.36
15 Dy 0.5000 0.5000 0.0000  8 Sm 3.36

Record 7
A plane-wave DFT calculation with PBE was carried out for a geometry-optimized Tb4SmDy3 structure.

ΔH_f (0 K)	0.013	eV/atom
excess energy over the best structure of this formula in the dataset	0	meV/atom
total moment	0.00	μB/f.u.
theoretical density	8.1	Mg/m³

a b c (Å): 11.3288 7.2784 6.2941
angles (deg): 90.00 90.00 90.00
Last column: nearest neighbours and their distance in Å.
Element x y z (fractional)
1 Tb 0.0000 0.1250 0.0000  6 Tb 3.52-3.64, 4 Dy 3.53-3.64, 2 Sm 3.63-3.64
2 Tb 0.0000 0.8750 0.4984  6 Tb 3.52-3.64, 4 Dy 3.52-3.64, 2 Sm 3.64
3 Tb 0.2488 0.8751 0.8321  6 Tb 3.52-3.63, 5 Dy 3.52-3.64, 1 Sm 3.54
4 Tb 0.2512 0.1249 0.3321  6 Tb 3.52-3.63, 5 Dy 3.52-3.64, 1 Sm 3.54
5 Tb 0.5000 0.1250 0.9984  6 Tb 3.52-3.64, 4 Dy 3.52-3.64, 2 Sm 3.64
6 Tb 0.5000 0.8750 0.5000  6 Tb 3.52-3.64, 4 Dy 3.53-3.64, 2 Sm 3.63-3.64
7 Tb 0.7488 0.1249 0.3321  6 Tb 3.52-3.63, 5 Dy 3.52-3.64, 1 Sm 3.54
8 Tb 0.7512 0.8751 0.8321  6 Tb 3.52-3.63, 5 Dy 3.52-3.64, 1 Sm 3.54
9 Sm 0.0000 0.3747 0.4992  6 Dy 3.52-3.64, 6 Tb 3.54-3.64
10 Sm 0.5000 0.6253 0.9992  6 Dy 3.52-3.64, 6 Tb 3.54-3.64
11 Dy 0.0000 0.6248 0.9990  6 Tb 3.52-3.64, 4 Dy 3.52-3.53, 2 Sm 3.63-3.64
12 Dy 0.2500 0.3749 0.8321  2 Sm 3.52-3.53, 4 Dy 3.52-3.64, 6 Tb 3.52-3.64
13 Dy 0.2500 0.6251 0.3321  2 Sm 3.52-3.53, 4 Dy 3.52-3.64, 6 Tb 3.52-3.64
14 Dy 0.5000 0.3752 0.4990  6 Tb 3.52-3.64, 4 Dy 3.52-3.53, 2 Sm 3.63-3.64
15 Dy 0.7500 0.3749 0.8321  2 Sm 3.52-3.53, 4 Dy 3.52-3.64, 6 Tb 3.52-3.64
16 Dy 0.7500 0.6251 0.3321  2 Sm 3.52-3.53, 4 Dy 3.52-3.64, 6 Tb 3.52-3.64

Record 8
A plane-wave DFT calculation with PBE was carried out for a geometry-optimized Tb7Sm4Dy structure.

ΔH_f (0 K)	0.086	eV/atom
excess energy over the best structure of this formula in the dataset	0	meV/atom
total moment	0.00	μB/f.u.
theoretical density	7.9	Mg/m³

a b c (Å): 6.5437 6.8420 9.1062
angles (deg): 85.87 77.29 82.35
Last column: nearest neighbours and their distance in Å.
Element x y z (fractional)
1 Tb 0.0000 0.0000 0.0000  4 Sm 3.38-3.66, 2 Dy 3.42, 4 Tb 3.53-3.74
2 Tb 0.1900 0.6058 0.3850  5 Tb 3.30-3.62, 5 Sm 3.34-3.67
3 Tb 0.3165 0.1985 0.6398  5 Tb 3.39-3.74, 4 Sm 3.47-3.56
4 Tb 0.4878 0.7477 0.0517  5 Tb 3.38-3.56, 4 Sm 3.39-3.71, 1 Dy 3.50
5 Tb 0.5122 0.2523 0.9483  5 Tb 3.38-3.56, 4 Sm 3.39-3.71, 1 Dy 3.50
6 Tb 0.6835 0.8015 0.3602  5 Tb 3.39-3.74, 4 Sm 3.47-3.56
7 Tb 0.8100 0.3942 0.6150  5 Tb 3.30-3.62, 5 Sm 3.34-3.67
8 Sm 0.1587 0.1153 0.3086  7 Tb 3.38-3.71, 2 Sm 3.52-3.53
9 Sm 0.3609 0.6919 0.7175  8 Tb 3.34-3.70, 1 Dy 3.40, 2 Sm 3.52-3.53
10 Sm 0.6391 0.3081 0.2825  8 Tb 3.34-3.70, 1 Dy 3.40, 2 Sm 3.52-3.53
11 Sm 0.8413 0.8847 0.6914  7 Tb 3.38-3.71, 2 Sm 3.52-3.53
12 Dy 0.0000 0.5000 0.0000  2 Sm 3.40, 4 Tb 3.42-3.50

Record 9
A plane-wave DFT calculation with PBE was carried out for a geometry-optimized Tb5Sm2Dy2 structure.

ΔH_f (0 K)	0.243	eV/atom
excess energy over the best structure of this formula in the dataset	26	meV/atom
total moment	0.00	μB/f.u.
theoretical density	7.7	Mg/m³

a b c (Å): 10.9438 10.9438 8.2243
angles (deg): 99.46 99.46 18.41
Last column: nearest neighbours and their distance in Å.
Element x y z (fractional)
1 Tb 0.0000 0.0000 0.0000  4 Tb 3.25-3.50, 4 Dy 3.41
2 Tb 0.0970 0.0970 0.7375  5 Tb 3.25-3.50, 4 Dy 3.55-3.60, 1 Sm 3.57
3 Tb 0.3097 0.3097 0.4714  1 Dy 3.18, 6 Tb 3.22-3.50, 1 Sm 3.50
4 Tb 0.6903 0.6903 0.5286  1 Dy 3.18, 6 Tb 3.22-3.50, 1 Sm 3.50
5 Tb 0.9030 0.9030 0.2625  5 Tb 3.25-3.50, 4 Dy 3.55-3.60, 1 Sm 3.57
6 Sm 0.1817 0.1817 0.1485  5 Tb 3.50-3.91, 2 Sm 3.50
7 Sm 0.8183 0.8183 0.8515  5 Tb 3.50-3.91, 2 Sm 3.50
8 Dy 0.4526 0.4526 0.6446  5 Tb 3.18-3.55, 3 Dy 3.39-3.50
9 Dy 0.5474 0.5474 0.3554  5 Tb 3.18-3.55, 3 Dy 3.39-3.50

Record 10
A plane-wave DFT calculation with PBE was carried out for a geometry-optimized Tb2Sm7Dy structure.

ΔH_f (0 K)	0.659	eV/atom
excess energy over the best structure of this formula in the dataset	616	meV/atom
total moment	0.00	μB/f.u.
theoretical density	6.3	Mg/m³

a b c (Å): 9.4992 9.4992 5.4811
angles (deg): 90.00 90.00 125.13
Last column: nearest neighbours and their distance in Å.
Element x y z (fractional)
1 Tb 0.2044 0.7956 0.0000  7 Sm 3.12-3.48
2 Tb 0.7956 0.2044 0.0000  7 Sm 3.12-3.48
3 Sm 0.0000 0.0000 0.0000  4 Sm 3.38, 2 Tb 3.45
4 Sm 0.2104 0.4324 0.0000  2 Sm 3.13-3.38, 2 Tb 3.22-3.48
5 Sm 0.2928 0.7072 0.5000  2 Tb 3.12, 1 Dy 3.49
6 Sm 0.4324 0.2104 0.0000  2 Sm 3.13-3.38, 2 Tb 3.22-3.48
7 Sm 0.5676 0.7896 0.0000  2 Sm 3.13-3.38, 2 Tb 3.22-3.48
8 Sm 0.7072 0.2928 0.5000  2 Tb 3.12, 1 Dy 3.49
9 Sm 0.7896 0.5676 0.0000  2 Sm 3.13-3.38, 2 Tb 3.22-3.48
10 Dy 0.5000 0.5000 0.5000  10 Sm 3.49-3.67

Record 11
A plane-wave DFT calculation with PBE was carried out for a geometry-optimized Tb7SmDy2 structure.

ΔH_f (0 K)	0.012	eV/atom
excess energy over the best structure of this formula in the dataset	0	meV/atom
total moment	0.00	μB/f.u.
theoretical density	8.3	Mg/m³

a b c (Å): 6.1598 7.1276 7.9614
angles (deg): 77.09 75.04 73.28
Last column: nearest neighbours and their distance in Å.
Element x y z (fractional)
1 Tb 0.0000 0.0000 0.0000  8 Tb 3.56-3.57, 2 Dy 3.56, 2 Sm 3.56
2 Tb 0.1998 0.8004 0.5996  7 Tb 3.55-3.56, 4 Dy 3.55-3.57, 1 Sm 3.56
3 Tb 0.4000 0.5999 0.2008  3 Dy 3.55-3.56, 7 Tb 3.55-3.57, 2 Sm 3.56
4 Tb 0.4006 0.0995 0.2007  9 Tb 3.55-3.57, 2 Dy 3.55-3.56, 1 Sm 3.57
5 Tb 0.5994 0.9005 0.7993  9 Tb 3.55-3.57, 2 Dy 3.55-3.56, 1 Sm 3.57
6 Tb 0.6000 0.4001 0.7992  3 Dy 3.55-3.56, 7 Tb 3.55-3.57, 2 Sm 3.56
7 Tb 0.8002 0.1996 0.4004  7 Tb 3.55-3.56, 4 Dy 3.55-3.57, 1 Sm 3.56
8 Sm 0.0000 0.5000 0.0000  10 Tb 3.56-3.57, 2 Dy 3.57
9 Dy 0.2002 0.2998 0.5995  10 Tb 3.55-3.57, 1 Dy 3.56, 1 Sm 3.57
10 Dy 0.7998 0.7002 0.4005  10 Tb 3.55-3.57, 1 Dy 3.56, 1 Sm 3.57

Record 12
A plane-wave DFT calculation with PBE was carried out for a geometry-optimized Tb4SmDy3 structure.

ΔH_f (0 K)	0.208	eV/atom
excess energy over the best structure of this formula in the dataset	195	meV/atom
total moment	0.00	μB/f.u.
theoretical density	8.0	Mg/m³

a b c (Å): 13.3621 13.3621 3.5584
angles (deg): 90.05 90.05 24.43
Last column: nearest neighbours and their distance in Å.
Element x y z (fractional)
1 Tb 0.1045 0.1045 0.0006  1 Tb 3.11, 2 Sm 3.26
2 Tb 0.2238 0.2238 0.9989  3 Tb 3.11-3.14
3 Tb 0.7762 0.7762 0.0011  3 Tb 3.11-3.14
4 Tb 0.8955 0.8955 0.9994  1 Tb 3.11, 2 Sm 3.26
5 Sm 0.0000 0.0000 0.5000  4 Tb 3.26, 4 Dy 3.34, 2 Sm 3.56
6 Dy 0.3452 0.3452 0.5003  2 Dy 3.56, 10 Tb 3.59-3.80
7 Dy 0.5000 0.5000 0.0000  4 Sm 3.34, 2 Dy 3.56
8 Dy 0.6548 0.6548 0.4997  2 Dy 3.56, 10 Tb 3.59-3.80

Q: What is the theoretical density in the ninth record?
A: 7.7 Mg/m³

Q: What is the formula in the sixth record?
A: Tb4Sm10Dy

Q: The highest theoretical density belongs to which entry?
A: Tb7SmDy2